[1]
A relaxed structure of CoSnTeO, computed with GGA+U.

```
8
Lattice="-1.475 0.163 -3.913 2.698 -2.989 -1.142 -6.027 -6.210 2.014" Properties=species:S:1:pos:R:3 pbc="T T T"
Co -2.494 -3.591 -0.328
Co -2.310 -5.445 -2.713
O -3.446 -3.730 -2.213
O -1.359 -5.306 -0.827
Sn -0.388 -3.465 -3.355
Sn -4.416 -5.571 0.314
Te -0.540 -1.578 -0.981
Te -4.264 -7.458 -2.060
```

Computed properties:
energy above the most stable polymorph in this dataset	150	meV/atom


[2]
A relaxed structure of CoSnTeO, computed with GGA+U.

```
8
Lattice="6.932 -2.022 0.000 6.932 2.022 0.000 0.000 0.000 6.265" Properties=species:S:1:pos:R:3 pbc="T T T"
Sn 11.674 0.000 0.003
Sn 2.191 0.000 3.136
Te 11.833 0.000 3.158
Te 2.032 0.000 0.026
Co 7.510 0.000 5.330
Co 6.355 0.000 2.197
O 5.948 0.000 0.234
O 7.917 0.000 3.366
```

Computed properties:
energy above the most stable polymorph in this dataset	25	meV/atom


[3]
A relaxed structure of CoSnTeO, computed with GGA+U.

```
8
Lattice="-2.576 -3.076 0.528 3.361 -0.530 -2.194 6.144 -3.392 10.230" Properties=species:S:1:pos:R:3 pbc="T T T"
Co 3.788 -5.262 3.340
Co 6.080 -3.358 10.117
O 2.072 -1.147 3.431
O 5.914 -6.434 6.893
Sn 3.102 -2.329 1.569
Sn 4.189 -4.868 7.597
Te 4.959 -3.351 4.682
Te -0.082 -2.514 0.465
```

Computed properties:
energy above the most stable polymorph in this dataset	306	meV/atom


[4]
A relaxed structure of CoSnTeO, computed with GGA+U.

```
16
Lattice="-1.254 -1.969 -2.200 -4.083 -2.955 4.971 -11.185 10.448 -2.978" Properties=species:S:1:pos:R:3 pbc="T T T"
Sn -10.842 4.596 -1.444
Sn -2.832 1.652 -1.034
Sn -13.690 3.872 0.827
Sn -5.681 0.928 1.237
Te -3.121 -1.611 -0.287
Te -13.401 7.135 0.080
Te -9.014 0.508 1.173
Te -7.509 5.016 -1.380
O -5.044 -1.487 3.036
O -5.666 2.477 -0.158
O -11.478 7.011 -3.243
O -10.857 3.047 -0.049
Co -9.983 3.157 1.693
Co -6.540 2.367 -1.900
Co -11.875 8.309 -1.840
Co -4.648 -2.785 1.633
```

Computed properties:
energy above the most stable polymorph in this dataset	141	meV/atom


[5]
A relaxed structure of CoSnTeO, computed with GGA+U.

```
16
Lattice="5.953 0.000 0.000 0.000 7.281 0.000 0.000 0.000 8.651" Properties=species:S:1:pos:R:3 pbc="T T T"
O 2.165 6.504 6.357
O 0.811 2.863 2.294
O 5.141 0.778 6.620
O 3.788 4.418 2.031
Te 1.995 2.697 7.469
Te 3.957 0.944 3.143
Te 4.972 4.585 5.508
Te 0.981 6.337 1.182
Co 4.298 6.199 1.466
Co 4.631 2.558 7.185
Co 1.322 1.082 2.859
Co 1.655 4.723 5.792
Sn 4.940 2.864 1.222
Sn 3.990 6.505 7.429
Sn 1.963 4.417 3.104
Sn 1.013 0.776 5.547
```

Computed properties:
energy above the most stable polymorph in this dataset	254	meV/atom


[6]
A relaxed structure of SrCoO3, computed with GGA+U.

```
5
Lattice="4.051 0.000 0.000 0.000 4.051 0.000 0.000 0.000 4.942" Properties=species:S:1:pos:R:3 pbc="T T T"
O 0.000 2.025 3.773
O 2.025 2.025 0.147
O 2.025 0.000 3.773
Co 0.000 0.000 4.080
Sr 2.025 2.025 2.559
```

Computed properties:
E_tot	-4.85	eV/atom


[7]
A relaxed structure of SrCo7O12, computed with GGA+U.

```
20
Lattice="5.624 0.425 2.936 -3.417 5.226 1.198 -3.124 -5.110 2.134" Properties=species:S:1:pos:R:3 pbc="T T T"
O 3.112 1.283 3.104
O 0.361 3.880 3.407
O -3.011 2.751 2.082
O -0.446 1.813 1.895
O -4.028 -0.741 3.164
O -1.636 -0.784 1.945
O 2.094 -2.209 4.186
O 0.719 1.325 4.323
O -0.471 -1.271 4.373
O 1.179 -0.495 2.332
O -1.278 -3.338 2.861
O -2.096 1.037 3.936
Co 1.250 -2.342 2.535
Co -3.270 0.058 1.666
Co 2.812 0.213 1.468
Co 1.103 2.826 2.067
Co -0.458 0.271 3.134
Co -1.562 -2.555 1.067
Co -1.708 2.613 0.599
Sr 0.000 0.000 0.000
```

Computed properties:
E_tot	-5.85	eV/atom


[8]
A relaxed structure of Sr2CoO4, computed with GGA+U.

```
14
Lattice="4.734 -4.734 0.000 -4.734 0.000 -4.734 4.734 4.734 0.000" Properties=species:S:1:pos:R:3 pbc="T T T"
O 6.039 1.305 -1.305
O 3.672 3.672 -1.062
O 1.305 -1.305 -3.429
O -1.305 1.305 -3.429
O 1.062 3.672 -3.672
O 3.672 1.062 -3.672
O 3.429 -1.305 -1.305
O 1.062 1.062 -1.062
Sr 5.918 -1.184 -1.184
Sr -1.184 -1.184 -3.551
Sr 1.184 1.184 -3.551
Sr 3.551 1.184 -1.184
Co 0.000 0.000 0.000
Co 2.367 -2.367 -2.367
```

Computed properties:
energy above the most stable polymorph in this dataset	207	meV/atom


[9]
A relaxed structure of SrCoO3, computed with GGA+U.

```
20
Lattice="4.889 0.000 0.016 0.000 5.452 0.000 -0.962 0.000 9.262" Properties=species:S:1:pos:R:3 pbc="T T T"
Co -0.952 1.363 9.233
Co 2.445 0.000 0.008
Co 4.879 4.089 0.045
Co 2.445 2.726 0.008
O 3.278 1.363 0.969
O 1.898 4.089 5.617
O 3.090 5.447 8.260
O 3.248 4.089 1.001
O 3.090 2.731 8.260
O 4.378 4.089 3.666
O 2.030 1.363 3.661
O -0.451 1.363 5.612
O 0.679 1.363 8.277
O 0.649 4.089 8.309
O 0.838 0.005 1.018
O 0.838 2.721 1.018
Sr 1.921 4.089 3.189
Sr 2.006 1.363 6.089
Sr 4.482 1.363 3.199
Sr -0.555 4.089 6.079
```

Computed properties:
E_tot	-5.89	eV/atom


[10]
A relaxed structure of SrCoO3, computed with GGA+U.

```
5
Lattice="-0.791 2.890 3.296 1.854 -2.814 2.913 3.972 1.889 -0.704" Properties=species:S:1:pos:R:3 pbc="T T T"
Co 0.000 0.000 0.000
O 2.913 -0.462 1.105
O 1.591 2.390 1.296
O 0.532 0.038 3.104
Sr 2.518 0.983 2.752
```

Computed properties:
E_tot	-4.25	eV/atom


[11]
A relaxed structure of SrCoO3, computed with GGA+U.

```
5
Lattice="-3.607 -0.571 1.265 1.347 -2.284 2.811 0.320 2.957 2.249" Properties=species:S:1:pos:R:3 pbc="T T T"
O -1.618 1.430 1.937
O -1.104 -1.191 2.218
O 0.860 0.573 2.710
Sr 0.025 0.235 0.179
Co -0.944 0.288 3.343
```

Computed properties:
E_tot	-5.93	eV/atom


[12]
A relaxed structure of Sr2Co3O5, computed with GGA+U.

```
10
Lattice="-1.677 2.054 9.173 1.677 -2.054 9.173 1.677 2.054 -9.173" Properties=species:S:1:pos:R:3 pbc="T T T"
Co 1.677 0.000 0.000
Co 0.000 2.054 5.252
Co 1.677 0.000 3.921
O 0.000 0.000 5.078
O 1.677 0.000 1.956
O 0.000 0.000 13.269
O 0.000 2.054 7.217
O 0.000 0.000 9.173
Sr 1.677 0.000 7.194
Sr 0.000 2.054 1.979
```

Computed properties:
energy above the most stable polymorph in this dataset	0	meV/atom


no.,calculated density (g/cm3),size of the total moment (μB per cell)
1,6.855,5.84
2,6.074,6.00
3,6.059,1.37
4,6.026,10.96
5,5.690,3.45
6,3.984,1.55
7,5.809,21.01
8,4.666,10.00
9,5.233,4.00
10,3.655,5.00
11,5.800,2.82
12,5.675,8.97